1.
DFT (PBE-GGA) results for a geometry-optimized YTmTlHg structure.

Unit cell a=5.2919 b=5.2919 c=5.2919 alpha=60.00 beta=60.00 gamma=60.00
Closest atoms and distances in Å follow each position.
Positions (direct):
1 Tl 0.0000 0.0000 0.0000  4 Tm 3.24, 4 Y 3.24
2 Y 0.7500 0.7500 0.7500  4 Hg 3.24, 4 Tl 3.24
3 Tm 0.2500 0.2500 0.2500  4 Hg 3.24, 4 Tl 3.24
4 Hg 0.5000 0.5000 0.5000  4 Tm 3.24, 4 Y 3.24

## Properties
Symmetry: F-43m
D(E_F) in states/eV/atom: 1.06
Total moment in μB per cell: 0.3
Raw total energy in eV per atom: -3.8110
Formation enthalpy at 0 K in eV/atom: -0.41

***

2.
DFT (PBE-GGA) results for a geometry-optimized TmZrTlHg structure.

Unit cell a=5.1269 b=5.1269 c=5.1269 alpha=60.00 beta=60.00 gamma=60.00
Closest atoms and distances in Å follow each position.
Positions (direct):
1 Hg 0.5000 0.5000 0.5000  4 Zr 3.14, 4 Tm 3.14
2 Tm 0.2500 0.2500 0.2500  4 Hg 3.14, 4 Tl 3.14
3 Tl 0.0000 0.0000 0.0000  4 Zr 3.14, 4 Tm 3.14
4 Zr 0.7500 0.7500 0.7500  4 Hg 3.14, 4 Tl 3.14

## Properties
Symmetry: F-43m
D(E_F) in states/eV/atom: 1.23
Total moment in μB per cell: 0.0
Raw total energy in eV per atom: -4.1081
Formation enthalpy at 0 K in eV/atom: -0.19

***

3.
DFT (PBE-GGA) results for a geometry-optimized UTl2Hg structure.

Unit cell a=4.6844 b=4.7291 c=4.7291 alpha=90.00 beta=90.00 gamma=90.00
Closest atoms and distances in Å follow each position.
Positions (direct):
1 Tl 0.0000 0.0000 0.5000  4 U 3.33, 4 Hg 3.33, 4 Tl 3.34
2 Tl 0.0000 0.5000 0.0000  4 Hg 3.33, 4 U 3.33, 4 Tl 3.34
3 Hg 0.5000 0.0000 0.0000  8 Tl 3.33, 4 U 3.34
4 U 0.5000 0.5000 0.5000  8 Tl 3.33, 4 Hg 3.34

## Properties
Symmetry: P4/mmm
D(E_F) in states/eV/atom: 1.20
Total moment in μB per cell: 3.0
Raw total energy in eV per atom: -3.8568
Formation enthalpy at 0 K in eV/atom: 0.22

***

4.
DFT (PBE-GGA) results for a geometry-optimized UTlHg2 structure.

Unit cell a=4.6681 b=4.6925 c=4.6925 alpha=90.00 beta=90.00 gamma=90.00
Closest atoms and distances in Å follow each position.
Positions (direct):
1 Tl 0.5000 0.5000 0.5000  8 Hg 3.31, 4 U 3.32
2 U 0.5000 0.0000 0.0000  8 Hg 3.31, 4 Tl 3.32
3 Hg 0.0000 0.0000 0.5000  4 Tl 3.31, 4 U 3.31, 4 Hg 3.32
4 Hg 0.0000 0.5000 0.0000  4 Tl 3.31, 4 U 3.31, 4 Hg 3.32

## Properties
Symmetry: P4/mmm
D(E_F) in states/eV/atom: 1.60
Total moment in μB per cell: 3.4
Raw total energy in eV per atom: -3.3361
Formation enthalpy at 0 K in eV/atom: 0.23

***

5.
DFT (PBE-GGA) results for a geometry-optimized UTlHg2 structure.

Unit cell a=3.2657 b=3.2657 c=9.6133 alpha=90.00 beta=90.00 gamma=90.00
Closest atoms and distances in Å follow each position.
Positions (direct):
1 Hg 0.0000 0.0000 0.2403  4 Hg 3.27, 4 U 3.27, 4 Tl 3.40
2 Hg 0.0000 0.0000 0.7597  4 Hg 3.27, 4 U 3.27, 4 Tl 3.40
3 U 0.5000 0.5000 0.0000  4 U 3.27, 8 Hg 3.27
4 Tl 0.5000 0.5000 0.5000  4 Tl 3.27, 8 Hg 3.40

## Properties
Symmetry: P4/mmm
D(E_F) in states/eV/atom: 1.39
Total moment in μB per cell: 3.3
Raw total energy in eV per atom: -3.3685
Formation enthalpy at 0 K in eV/atom: 0.20

***

6.
DFT (PBE-GGA) results for a geometry-optimized Tl2VHg2 structure.

Unit cell a=7.3964 b=7.3964 c=4.9051 alpha=90.00 beta=90.00 gamma=90.00
Closest atoms and distances in Å follow each position.
Positions (direct):
1 Hg 0.6442 0.1442 0.0000  2 V 2.84, 1 Hg 3.02, 2 Tl 3.10
2 Hg 0.1442 0.3558 0.0000  2 V 2.84, 1 Hg 3.02, 2 Tl 3.10
3 Hg 0.8558 0.6442 0.0000  2 V 2.84, 1 Hg 3.02, 2 Tl 3.10
4 Hg 0.3558 0.8558 0.0000  2 V 2.84, 1 Hg 3.02, 2 Tl 3.10
5 V 0.0000 0.0000 0.0000  4 Hg 2.84
6 V 0.5000 0.5000 0.0000  4 Hg 2.84
7 Tl 0.8256 0.3256 0.5000  6 Hg 3.10-3.41
8 Tl 0.3256 0.1744 0.5000  6 Hg 3.10-3.41
9 Tl 0.1744 0.6744 0.5000  6 Hg 3.10-3.41
10 Tl 0.6744 0.8256 0.5000  6 Hg 3.10-3.41

## Properties
Symmetry: P4/mbm
D(E_F) in states/eV/atom: 1.10
Total moment in μB per cell: 7.1
Raw total energy in eV per atom: -2.4583
Formation enthalpy at 0 K in eV/atom: 0.43

***

7.
DFT (PBE-GGA) results for a geometry-optimized Tl2VHg structure.

Unit cell a=8.2641 b=8.2641 c=6.5843 alpha=51.13 beta=51.13 gamma=90.00
Closest atoms and distances in Å follow each position.
Positions (direct):
1 Tl 0.1534 0.6250 0.2500  2 V 2.86, 2 Tl 3.07, 2 Hg 3.18
2 Tl 0.8750 0.8466 0.7500  2 V 2.86, 2 Tl 3.07, 2 Hg 3.18
3 Tl 0.5966 0.1250 0.2500  2 V 2.86, 2 Tl 3.07, 2 Hg 3.18
4 Tl 0.3750 0.4034 0.7500  2 V 2.86, 2 Tl 3.07, 2 Hg 3.18
5 V 0.2500 0.7500 0.5000  4 Tl 2.86, 2 Hg 3.03
6 V 0.5000 0.5000 0.0000  4 Tl 2.86, 2 Hg 3.03
7 Hg 0.7500 0.2500 0.5000  2 V 3.03, 4 Tl 3.18
8 Hg 0.0000 0.0000 0.0000  2 V 3.03, 4 Tl 3.18

## Properties
Symmetry: I-42d
D(E_F) in states/eV/atom: 0.98
Total moment in μB per cell: 6.5
Raw total energy in eV per atom: -2.9716
Formation enthalpy at 0 K in eV/atom: 0.57

***

8.
DFT (PBE-GGA) results for a geometry-optimized TlV2Hg structure.

Unit cell a=7.4189 b=7.4189 c=5.9682 alpha=51.57 beta=51.57 gamma=90.00
Closest atoms and distances in Å follow each position.
Positions (direct):
1 V 0.3750 0.3779 0.7500  2 Hg 2.70, 2 Tl 2.73, 2 V 2.85
2 V 0.1279 0.6250 0.2500  2 Hg 2.70, 2 Tl 2.73, 2 V 2.85
3 V 0.8750 0.8721 0.7500  2 Hg 2.70, 2 Tl 2.73, 2 V 2.85
4 V 0.6221 0.1250 0.2500  2 Hg 2.70, 2 Tl 2.73, 2 V 2.85
5 Hg 0.5000 0.5000 0.0000  4 V 2.70, 2 Tl 2.85
6 Hg 0.2500 0.7500 0.5000  4 V 2.70, 2 Tl 2.85
7 Tl 0.0000 0.0000 0.0000  4 V 2.73, 2 Hg 2.85
8 Tl 0.7500 0.2500 0.5000  4 V 2.73, 2 Hg 2.85

## Properties
Symmetry: I-42d
D(E_F) in states/eV/atom: 0.84
Total moment in μB per cell: 0.0
Raw total energy in eV per atom: -4.3422
Formation enthalpy at 0 K in eV/atom: 0.88